Record 1
Below is a geometry-optimized VMo2Se structure, with properties calculated at the GGA-PBE level.

Values from the calculation:
Uncorrected formation energy: 0.455 eV/atom
Theoretical density: 8.070 g/cm3

Cell: 3.7146 3.7146 19.1950 Å, 90.00 90.00 90.00°
Space group I-42d (No. 122)
Inequivalent atoms, fractional coordinates:
1 V 0.0000 0.0000 0.0000
2 Mo 0.2459 0.2500 0.6250
3 Se 0.0000 0.0000 0.5000

=====

Record 2
Below is a geometry-optimized VMoSe2 structure, with properties calculated at the GGA-PBE level.

Values from the calculation:
Excess energy over the best structure of this formula in the dataset: 0.196 eV/atom
Uncorrected formation energy: 0.111 eV/atom
Theoretical density: 5.500 g/cm3

Cell: 5.7068 5.7068 11.3037 Å, 90.00 90.00 90.00°
Space group I-42d (No. 122)
Inequivalent atoms, fractional coordinates:
1 V 0.0000 0.0000 0.0000
2 Mo 0.0000 0.0000 0.5000
3 Se 0.2467 0.2500 0.1250

=====

Record 3
Below is a geometry-optimized VMoSe6 structure, with properties calculated at the GGA-PBE level.

Values from the calculation:
Uncorrected formation energy: -0.253 eV/atom
Theoretical density: 5.601 g/cm3

Cell: 6.1023 6.3070 6.3102 Å, 67.89 61.48 61.49°
Space group P-1 (No. 2)
Inequivalent atoms, fractional coordinates:
1 V 0.0000 0.0000 0.0000
2 Mo 0.5000 0.5000 0.5000
3 Se 0.1430 0.3546 0.8546
4 Se 0.1449 0.8561 0.3530
5 Se 0.4394 0.7579 0.7566

=====

Record 4
Below is a geometry-optimized MoWSe structure, with properties calculated at the GGA-PBE level.

Values from the calculation:
Excess energy over the best structure of this formula in the dataset: 0.090 eV/atom
Uncorrected formation energy: 0.396 eV/atom
Theoretical density: 12.198 g/cm3

Cell: 2.9778 2.9778 6.3596 Å, 90.00 90.00 120.00°
Space group P3m1 (No. 156)
Inequivalent atoms, fractional coordinates:
1 Mo 0.0000 0.0000 0.0000
2 W 0.6667 0.3333 0.6544
3 Se 0.3333 0.6667 0.3276

=====

Record 5
Below is a geometry-optimized Mo3WSe8 structure, with properties calculated at the GGA-PBE level.

Values from the calculation:
Uncorrected formation energy: -0.653 eV/atom
Theoretical density: 6.758 g/cm3

Cell: 3.3241 3.3241 28.3330 Å, 90.00 90.00 120.00°
Space group P3m1 (No. 156)
Inequivalent atoms, fractional coordinates:
1 Mo 0.0000 0.0000 0.0000
2 Mo 0.0000 0.0000 0.4976
3 Mo 0.6667 0.3333 0.2496
4 W 0.6667 0.3333 0.7469
5 Se 0.0000 0.0000 0.1905
6 Se 0.0000 0.0000 0.3086
7 Se 0.0000 0.0000 0.6875
8 Se 0.0000 0.0000 0.8062
9 Se 0.6667 0.3333 0.0590
10 Se 0.6667 0.3333 0.4385
11 Se 0.6667 0.3333 0.5566
12 Se 0.6667 0.3333 0.9410

=====

Record 6
Below is a geometry-optimized MoWSe3 structure, with properties calculated at the GGA-PBE level.

Values from the calculation:
Excess energy over the best structure of this formula in the dataset: 0.000 eV/atom
Uncorrected formation energy: 0.143 eV/atom
Theoretical density: 6.878 g/cm3

Cell: 6.5462 14.1426 5.3894 Å, 90.00 90.00 90.00°
Space group Cmc2_1 (No. 36)
Inequivalent atoms, fractional coordinates:
1 Mo 0.0000 0.0051 0.0000
2 W 0.0000 0.5001 0.0254
3 Se 0.0000 0.1521 0.7645
4 Se 0.2381 0.3907 0.7887

=====

Record 7
Below is a geometry-optimized MoW3Se structure, with properties calculated at the GGA-PBE level.

Values from the calculation:
Excess energy over the best structure of this formula in the dataset: 0.517 eV/atom
Uncorrected formation energy: 2.235 eV/atom
Theoretical density: 11.131 g/cm3

Cell: 4.7677 4.7677 4.7677 Å, 90.00 90.00 90.00°
Space group Pm-3m (No. 221)
Inequivalent atoms, fractional coordinates:
1 Mo 0.0000 0.0000 0.0000
2 W 0.0000 0.0000 0.5000
3 Se 0.5000 0.5000 0.5000

=====

Record 8
Below is a geometry-optimized Mo3WSe structure, with properties calculated at the GGA-PBE level.

Values from the calculation:
Excess energy over the best structure of this formula in the dataset: 0.507 eV/atom
Uncorrected formation energy: 1.863 eV/atom
Theoretical density: 8.335 g/cm3

Cell: 4.7871 4.7871 4.7871 Å, 90.00 90.00 90.00°
Space group Pm-3m (No. 221)
Inequivalent atoms, fractional coordinates:
1 Mo 0.0000 0.0000 0.5000
2 W 0.0000 0.0000 0.0000
3 Se 0.5000 0.5000 0.5000